The following is a DFT calculation (PBE) of a geometry-optimized RbAlCo structure.

a = 5.3455 Å, b = 5.3455 Å, c = 5.3455 Å
α = 60.00°, β = 60.00°, γ = 60.00°
Closest atoms and distances in Å follow each position.
Fractional coordinates of all 3 atoms:
Rb 0.0000 0.0000 0.0000  4 Co 3.27, 4 Al 3.27
Al 0.2500 0.2500 0.2500  4 Rb 3.27
Co 0.7500 0.7500 0.7500  4 Rb 3.27

Properties
Size of the total moment ... 0.01 μB/atom
DFT total energy ... -1.9752 eV per atom
Calculated volume ... 108 Å³/f.u.
Energy above the lowest structure with this stoichiometry ... 247 kJ/mol of formula units